# 1
An optimized crystal structure of Li5Mn6O16. Source: Alexandria, functional PBE with a Hubbard U.

Geometry as POSCAR:
```
Li5Mn6O16
1.0
2.909 1.680 9.711
-2.909 1.680 9.711
0.000 -3.359 9.711
Li Mn O
5 6 16
direct
0.000 0.000 0.000 Li
0.188 0.188 0.188 Li
0.309 0.309 0.309 Li
0.691 0.691 0.691 Li
0.812 0.812 0.812 Li
0.250 0.250 0.750 Mn
0.250 0.750 0.250 Mn
0.250 0.750 0.750 Mn
0.750 0.250 0.250 Mn
0.750 0.250 0.750 Mn
0.750 0.750 0.250 Mn
0.104 0.104 0.647 O
0.104 0.647 0.104 O
0.119 0.119 0.119 O
0.138 0.607 0.607 O
0.353 0.896 0.896 O
0.381 0.381 0.381 O
0.393 0.393 0.862 O
0.393 0.862 0.393 O
0.607 0.138 0.607 O
0.607 0.607 0.138 O
0.619 0.619 0.619 O
0.647 0.104 0.104 O
0.862 0.393 0.393 O
0.881 0.881 0.881 O
0.896 0.353 0.896 O
0.896 0.896 0.353 O
```

## Properties
As for the total energy: -6.392 eV per atom.


# 2
An optimized crystal structure of Li3Mn2O5. Source: Alexandria, functional PBE with a Hubbard U.

Geometry as POSCAR:
```
Li3Mn2O5
1.0
11.984 -1.451 0.000
11.984 1.451 0.000
-0.449 0.000 5.064
Li Mn O
6 4 10
direct
0.000 0.000 0.000 Li
0.209 0.191 0.393 Li
0.404 0.403 0.794 Li
0.500 0.500 0.500 Li
0.597 0.596 0.206 Li
0.809 0.791 0.607 Li
0.099 0.096 0.688 Mn
0.305 0.295 0.101 Mn
0.705 0.695 0.899 Mn
0.904 0.901 0.312 Mn
0.055 0.054 0.374 O
0.150 0.156 0.021 O
0.265 0.231 0.767 O
0.352 0.354 0.428 O
0.443 0.444 0.165 O
0.556 0.557 0.835 O
0.646 0.648 0.572 O
0.769 0.735 0.233 O
0.844 0.850 0.979 O
0.946 0.945 0.626 O
```

## Properties
As for the total energy: -6.217 eV per atom. As for the polymorph energy (0 for the lowest one): 0.123 eV/atom.


# 3
An optimized crystal structure of Li3MnO. Source: Alexandria, functional PBE with a Hubbard U.

Geometry as POSCAR:
```
Li3MnO
1.0
4.833 0.000 0.000
0.000 4.833 0.000
0.000 0.000 4.833
Li Mn O
3 1 1
direct
0.000 0.000 0.500 Li
0.000 0.500 0.000 Li
0.500 0.000 0.000 Li
0.000 0.000 0.000 Mn
0.500 0.500 0.500 O
```

## Properties
As for the total energy: -2.765 eV per atom. As for the polymorph energy (0 for the lowest one): 1.456 eV/atom.


# 4
An optimized crystal structure of LiMn6O12. Source: Alexandria, functional PBE with a Hubbard U.

Geometry as POSCAR:
```
LiMn6O12
1.0
4.573 2.640 2.681
-4.573 2.640 2.681
0.000 -5.280 2.681
Li Mn O
1 6 12
direct
0.000 0.000 0.000 Li
0.131 0.322 0.610 Mn
0.322 0.610 0.131 Mn
0.390 0.869 0.678 Mn
0.610 0.131 0.322 Mn
0.678 0.390 0.869 Mn
0.869 0.678 0.390 Mn
0.067 0.887 0.672 O
0.113 0.328 0.933 O
0.180 0.583 0.405 O
0.328 0.933 0.113 O
0.405 0.180 0.583 O
0.417 0.595 0.820 O
0.583 0.405 0.180 O
0.595 0.820 0.417 O
0.672 0.067 0.887 O
0.820 0.417 0.595 O
0.887 0.672 0.067 O
0.933 0.113 0.328 O
```

## Properties
As for the total energy: -6.836 eV per atom.


# 5
An optimized crystal structure of Li7Mn5O12. Source: Alexandria, functional PBE with a Hubbard U.

Geometry as POSCAR:
```
Li7Mn5O12
1.0
5.323 0.000 0.000
0.049 5.753 0.000
2.073 1.497 7.305
Li Mn O
7 5 12
direct
0.000 0.000 0.000 Li
0.155 0.914 0.317 Li
0.171 0.412 0.325 Li
0.448 0.233 0.021 Li
0.552 0.767 0.979 Li
0.829 0.588 0.675 Li
0.845 0.086 0.683 Li
0.000 0.500 0.000 Mn
0.326 0.838 0.674 Mn
0.340 0.334 0.670 Mn
0.660 0.666 0.330 Mn
0.674 0.162 0.326 Mn
0.013 0.688 0.186 O
0.069 0.220 0.161 O
0.252 0.127 0.523 O
0.292 0.626 0.500 O
0.427 0.548 0.815 O
0.432 0.054 0.816 O
0.568 0.946 0.184 O
0.573 0.452 0.185 O
0.708 0.374 0.500 O
0.748 0.873 0.477 O
0.931 0.780 0.839 O
0.987 0.312 0.814 O
```

## Properties
As for the total energy: -6.375 eV per atom. As for the polymorph energy (0 for the lowest one): 0.015 eV/atom.


# 6
An optimized crystal structure of LiMn4O8. Source: Alexandria, functional PBE with a Hubbard U.

Geometry as POSCAR:
```
LiMn4O8
1.0
6.849 -1.513 0.000
6.849 1.513 0.000
-6.787 0.000 6.881
Li Mn O
1 4 8
direct
0.000 0.000 0.000 Li
0.169 0.169 0.818 Mn
0.352 0.352 0.523 Mn
0.648 0.648 0.477 Mn
0.831 0.831 0.182 Mn
0.150 0.150 0.344 O
0.162 0.162 0.616 O
0.195 0.195 0.046 O
0.454 0.454 0.286 O
0.546 0.546 0.714 O
0.805 0.805 0.954 O
0.838 0.838 0.384 O
0.850 0.850 0.656 O
```

## Properties
As for the total energy: -6.948 eV per atom. As for the polymorph energy (0 for the lowest one): 0.038 eV/atom.


# 7
An optimized crystal structure of Li3Mn2O5. Source: Alexandria, functional PBE with a Hubbard U.

Geometry as POSCAR:
```
Li3Mn2O5
1.0
3.956 0.000 0.000
1.679 6.241 0.000
1.451 0.557 8.173
Li Mn O
6 4 10
direct
0.000 0.000 0.000 Li
0.004 0.371 0.122 Li
0.483 0.214 0.907 Li
0.500 0.500 0.500 Li
0.517 0.786 0.093 Li
0.996 0.629 0.878 Li
0.025 0.323 0.662 Mn
0.285 0.051 0.360 Mn
0.715 0.949 0.640 Mn
0.975 0.677 0.338 Mn
0.054 0.672 0.108 O
0.108 0.353 0.408 O
0.206 0.997 0.611 O
0.333 0.099 0.138 O
0.449 0.728 0.337 O
0.551 0.272 0.663 O
0.667 0.901 0.862 O
0.794 0.003 0.389 O
0.892 0.647 0.592 O
0.946 0.328 0.892 O
```

## Properties
As for the total energy: -6.193 eV per atom. As for the polymorph energy (0 for the lowest one): 0.147 eV/atom.


# 8
An optimized crystal structure of LiMnO2. Source: Alexandria, functional PBE with a Hubbard U.

Geometry as POSCAR:
```
LiMnO2
1.0
3.022 0.000 0.000
-1.511 2.617 0.000
0.000 0.000 14.650
Li Mn O
3 3 6
direct
0.000 0.000 0.000 Li
0.333 0.667 0.667 Li
0.667 0.333 0.333 Li
0.000 0.000 0.500 Mn
0.333 0.667 0.167 Mn
0.667 0.333 0.833 Mn
0.000 0.000 0.242 O
0.000 0.000 0.758 O
0.333 0.667 0.424 O
0.333 0.667 0.909 O
0.667 0.333 0.091 O
0.667 0.333 0.576 O
```

## Properties
As for the total energy: -6.540 eV per atom.


# 9
An optimized crystal structure of Li2Mn2O3. Source: Alexandria, functional PBE with a Hubbard U.

Geometry as POSCAR:
```
Li2Mn2O3
1.0
6.066 0.000 0.000
0.000 5.473 0.000
-2.137 0.000 4.926
Li Mn O
4 4 6
direct
0.058 0.154 0.180 Li
0.058 0.346 0.680 Li
0.942 0.654 0.320 Li
0.942 0.846 0.820 Li
0.348 0.593 0.225 Mn
0.348 0.907 0.725 Mn
0.652 0.093 0.275 Mn
0.652 0.407 0.775 Mn
0.000 0.000 0.500 O
0.000 0.500 0.000 O
0.304 0.536 0.610 O
0.304 0.964 0.110 O
0.696 0.036 0.890 O
0.696 0.464 0.390 O
```

## Properties
As for the total energy: -6.437 eV per atom. As for the polymorph energy (0 for the lowest one): 0.045 eV/atom.


# 10
An optimized crystal structure of LiMn2O3. Source: Alexandria, functional PBE with a Hubbard U.

Geometry as POSCAR:
```
LiMn2O3
1.0
3.095 0.000 0.000
0.000 4.200 0.000
0.000 0.000 9.279
Li Mn O
2 4 6
direct
0.000 0.000 0.000 Li
0.500 0.500 0.500 Li
0.000 0.000 0.338 Mn
0.000 0.000 0.662 Mn
0.500 0.500 0.162 Mn
0.500 0.500 0.838 Mn
0.000 0.500 0.000 O
0.000 0.500 0.325 O
0.000 0.500 0.675 O
0.500 0.000 0.175 O
0.500 0.000 0.500 O
0.500 0.000 0.825 O
```

## Properties
As for the total energy: -7.024 eV per atom. As for the polymorph energy (0 for the lowest one): 0.000 eV/atom.


# 11
An optimized crystal structure of Li7Mn5O12. Source: Alexandria, functional PBE with a Hubbard U.

Geometry as POSCAR:
```
Li7Mn5O12
1.0
5.964 0.000 0.000
0.383 6.006 0.000
1.622 1.435 6.163
Li Mn O
7 5 12
direct
0.000 0.000 0.000 Li
0.000 0.500 0.000 Li
0.334 0.340 0.671 Li
0.336 0.823 0.682 Li
0.500 0.500 0.000 Li
0.664 0.177 0.318 Li
0.666 0.660 0.329 Li
0.174 0.175 0.329 Mn
0.174 0.668 0.334 Mn
0.500 0.000 0.000 Mn
0.826 0.332 0.666 Mn
0.826 0.825 0.671 Mn
0.066 0.089 0.648 O
0.079 0.601 0.661 O
0.256 0.234 0.013 O
0.270 0.771 0.020 O
0.392 0.418 0.341 O
0.422 0.944 0.314 O
0.578 0.056 0.686 O
0.608 0.582 0.659 O
0.730 0.229 0.980 O
0.744 0.766 0.987 O
0.921 0.399 0.339 O
0.934 0.911 0.352 O
```

## Properties
As for the total energy: -6.376 eV per atom. As for the polymorph energy (0 for the lowest one): 0.015 eV/atom.


# 12
An optimized crystal structure of Li5Mn6O12. Source: Alexandria, functional PBE with a Hubbard U.

Geometry as POSCAR:
```
Li5Mn6O12
1.0
6.155 0.000 0.000
-2.425 6.089 0.000
-1.567 -1.576 6.170
Li Mn O
5 6 12
direct
0.000 0.000 0.000 Li
0.011 0.347 0.341 Li
0.499 0.348 0.343 Li
0.517 0.996 0.990 Li
0.961 0.656 0.668 Li
0.257 0.512 0.999 Mn
0.264 0.183 0.669 Mn
0.268 0.845 0.337 Mn
0.757 0.508 0.007 Mn
0.760 0.172 0.673 Mn
0.761 0.840 0.344 Mn
0.091 0.389 0.681 O
0.149 0.757 0.015 O
0.160 0.093 0.354 O
0.365 0.596 0.312 O
0.371 0.270 0.984 O
0.423 0.969 0.658 O
0.654 0.413 0.687 O
0.655 0.756 0.031 O
0.657 0.090 0.359 O
0.862 0.258 0.988 O
0.878 0.599 0.329 O
0.891 0.942 0.660 O
```

## Properties
As for the total energy: -6.689 eV per atom.